1.
# PrNpRh4

A relaxed structure of PrNpRh4 (PBE-GGA, the Alexandria database).

Cell lengths 14.5884, 5.9002, 5.6003 Å; angles 90.00, 105.46, 90.00 degrees
Space group C2/m (No. 12)
Symmetry-distinct sites (fractional):
Pr 0.1898 0.0000 0.2697
Np 0.0752 0.5000 0.3772
Rh 0.0000 0.2385 0.0000
Rh 0.1244 0.2292 0.7189
Rh 0.1992 0.5000 0.1334

Calculated values
- DFT formation energy (eV per formula unit) = -1.95

2.
# Ba2LiCaF

A relaxed structure of Ba2LiCaF (PBE-GGA, the Alexandria database).

Cell lengths 6.4294, 6.4294, 4.5388 Å; angles 90.00, 90.00, 90.00 degrees
Space group P4/mmm (No. 123)
Symmetry-distinct sites (fractional):
Ba 0.0000 0.5000 0.0000
Li 0.0000 0.0000 0.5000
Ca 0.5000 0.5000 0.5000
F 0.5000 0.5000 0.0000

Calculated values
- ΔE_f (raw) (meV per atom) = -1033

The evaluated relative energy among the computed polymorphs for the records listed, in turn: 0.121; 0.000 eV per atom.